{
  "formula": "NaFeCuS2",
  "functional": "PBE",
  "state": "optimized geometry",
  "cell": [[3.8536, 0.0000, 0.0000], [-1.9268, 3.3373, 0.0000], [0.0000, 0.0000, 6.8500]],
  "species": ["Na", "Fe", "Cu", "S", "S"],
  "frac_coords": [[0.0000, 0.0000, 0.0000], [0.6667, 0.3333, 0.3947], [0.3333, 0.6667, 0.6297], [0.3333, 0.6667, 0.2776], [0.6667, 0.3333, 0.7349]],
  "raw_formation_energy_ev_per_atom": -0.522
}

{
  "formula": "NaFeCuSe2",
  "functional": "PBE",
  "state": "optimized geometry",
  "cell": [[4.0306, 0.0000, 0.0000], [-2.0153, 3.4906, 0.0000], [0.0000, 0.0000, 7.1895]],
  "species": ["Na", "Fe", "Cu", "Se", "Se"],
  "frac_coords": [[0.0000, 0.0000, 0.0000], [0.3333, 0.6667, 0.5991], [0.6667, 0.3333, 0.3791], [0.3333, 0.6667, 0.2597], [0.6667, 0.3333, 0.7267]],
  "raw_formation_energy_ev_per_atom": -0.422
}

{
  "formula": "NbFe3Cu",
  "functional": "PBE",
  "state": "optimized geometry",
  "cell": [[4.3224, 0.0000, 0.0000], [0.0000, 4.3224, 0.0000], [0.0000, 0.0000, 4.3224]],
  "species": ["Nb", "Fe", "Fe", "Fe", "Cu"],
  "frac_coords": [[0.0000, 0.0000, 0.0000], [0.0000, 0.5000, 0.5000], [0.5000, 0.0000, 0.5000], [0.5000, 0.5000, 0.0000], [0.5000, 0.5000, 0.5000]],
  "polymorph_energy_mev_per_atom": 0.0,
  "formation_energy_ev_per_fu": 5.60
}

{
  "formula": "Nb2FeCu",
  "functional": "PBE",
  "state": "optimized geometry",
  "cell": [[2.8649, 0.0000, 0.0000], [0.0000, 2.8649, 0.0000], [0.0000, 0.0000, 7.2490]],
  "species": ["Nb", "Nb", "Fe", "Cu"],
  "frac_coords": [[0.0000, 0.0000, 0.2319], [0.0000, 0.0000, 0.7681], [0.5000, 0.5000, 0.0000], [0.5000, 0.5000, 0.5000]],
  "polymorph_energy_mev_per_atom": 0.0,
  "formation_energy_ev_per_fu": 0.32
}